1.
First-principles (SCAN) data for TlIn2Mo at its PBEsol-relaxed geometry, as listed in the Alexandria database.

E_form (eV per atom): 0.584
Fermi-level density of states (states/eV/cell): 2.75

Unit cell a=3.094 b=5.297 c=5.345 alpha=111.44 beta=90.00 gamma=90.00
Element x y z (fractional)
Tl 0.000 0.500 0.500
In 0.000 0.000 0.000
In 0.500 0.500 0.000
Mo 0.500 0.000 0.500



2.
First-principles (SCAN) data for TlIn2Mo at its PBEsol-relaxed geometry, as listed in the Alexandria database.

E_form (eV per atom): 0.478
Fermi-level density of states (states/eV/cell): 1.96

Unit cell a=3.024 b=5.115 c=5.295 alpha=90.00 beta=90.04 gamma=90.00
Element x y z (fractional)
Mo 0.376 0.000 0.543
Tl 0.374 0.500 0.217
In 0.874 0.000 0.040
In 0.876 0.500 0.700